1.
The following is a DFT calculation (PBEsol) of crystalline TaPtPb2 at its relaxed geometry. Values from VASP.

Energy relative to the lowest polymorph listed for this composition in meV per atom: 210.1
Space-group type: F-43m (216)

```
&SYSTEM
  ibrav = 0, nat = 16, ntyp = 3
/
ATOMIC_SPECIES
Ta 180.95 Ta.upf
Pt 195.08 Pt.upf
Pb 207.20 Pb.upf
CELL_PARAMETERS angstrom
6.969 0.000 0.000
0.000 6.969 0.000
0.000 0.000 6.969
ATOMIC_POSITIONS crystal
Ta 0.000 0.000 0.000
Ta 0.000 0.500 0.500
Ta 0.500 0.000 0.500
Ta 0.500 0.500 0.000
Pt 0.250 0.250 0.750
Pt 0.250 0.750 0.250
Pt 0.750 0.250 0.250
Pt 0.750 0.750 0.750
Pb 0.000 0.000 0.500
Pb 0.000 0.500 0.000
Pb 0.250 0.250 0.250
Pb 0.250 0.750 0.750
Pb 0.500 0.000 0.000
Pb 0.500 0.500 0.500
Pb 0.750 0.250 0.750
Pb 0.750 0.750 0.250
```


2.
The following is a DFT calculation (PBEsol) of crystalline Tc2PtPb at its relaxed geometry. Values from VASP.

DFT total energy in eV per atom: -7.819
Space-group type: Cmmm (65)

```
&SYSTEM
  ibrav = 0, nat = 8, ntyp = 3
/
ATOMIC_SPECIES
Tc 98.00 Tc.upf
Pt 195.08 Pt.upf
Pb 207.20 Pb.upf
CELL_PARAMETERS angstrom
5.359 0.000 0.000
0.000 8.194 0.000
0.000 0.000 2.975
ATOMIC_POSITIONS crystal
Tc 0.250 0.250 0.000
Tc 0.250 0.750 0.000
Tc 0.750 0.250 0.000
Tc 0.750 0.750 0.000
Pt 0.000 0.000 0.500
Pt 0.500 0.500 0.500
Pb 0.000 0.500 0.500
Pb 0.500 0.000 0.500
```


3.
The following is a DFT calculation (PBEsol) of crystalline TcPtPb2 at its relaxed geometry. Values from VASP.

DFT total energy in eV per atom: -6.130
Space-group type: Cmmm (65)

```
&SYSTEM
  ibrav = 0, nat = 8, ntyp = 3
/
ATOMIC_SPECIES
Tc 98.00 Tc.upf
Pt 195.08 Pt.upf
Pb 207.20 Pb.upf
CELL_PARAMETERS angstrom
6.438 0.000 0.000
0.000 6.941 0.000
0.000 0.000 3.380
ATOMIC_POSITIONS crystal
Tc 0.000 0.000 0.000
Tc 0.500 0.500 0.000
Pt 0.000 0.500 0.000
Pt 0.500 0.000 0.000
Pb 0.250 0.250 0.500
Pb 0.250 0.750 0.500
Pb 0.750 0.250 0.500
Pb 0.750 0.750 0.500
```


| no. | size of the total moment (Bohr magnetons per cell) |
| --- | --- |
| 1 | 1.64 |
| 2 | 0.01 |
| 3 | 0.00 |